one:
PmTmNiRh: relaxed, PBE.

Cell: 3.8347 4.1155 5.6804 Å, 90.00 109.73 90.00°
Element x y z (fractional)
1 Pm 0.1439 0.0000 0.2878
2 Tm 0.8624 0.5000 0.7248
3 Ni 0.5753 0.5000 0.1507
4 Rh 0.4184 0.0000 0.8367

Results
As for the space group: Amm2, No. 38. As for the volume: 84 Å³ per cell.

two:
PmTmNiRh: relaxed, PBE.

Cell: 4.8578 4.8578 4.8578 Å, 60.00 60.00 60.00°
Element x y z (fractional)
1 Ni 0.2500 0.2500 0.2500
2 Tm 0.5000 0.5000 0.5000
3 Rh 0.7500 0.7500 0.7500
4 Pm 0.0000 0.0000 0.0000

Results
As for the space group: F-43m, No. 216. As for the volume: 81 Å³ per cell.

Which structure is the least stable? The one labeled two.

one:
Pm8NiRu2: relaxed, PBE.

Cell: 6.3104 7.6281 7.6281 Å, 113.54 101.34 101.34°
Element x y z (fractional)
1 Pm 0.5922 0.3531 0.0866
2 Pm 0.5922 0.0866 0.3531
3 Pm 0.1802 0.3571 0.3571
4 Pm 0.9877 0.2004 0.7957
5 Pm 0.9877 0.7957 0.2004
6 Pm 0.7867 0.6466 0.6466
7 Pm 0.3659 0.9202 0.6559
8 Pm 0.3659 0.6559 0.9202
9 Ni 0.1822 0.0055 0.0055
10 Ru 0.4794 0.6952 0.3178
11 Ru 0.4794 0.3178 0.6952

Results
As for the space group: Cm, No. 8. As for the volume: 314 Å³ per cell.

two:
Pm8NiRu2: relaxed, PBE.

Cell: 4.9842 6.9402 9.2735 Å, 105.13 105.59 90.00°
Element x y z (fractional)
1 Pm 0.4054 0.5445 0.8108
2 Pm 0.6683 0.9695 0.3366
3 Pm 0.7957 0.6826 0.5913
4 Pm 0.9677 0.2102 0.9354
5 Pm 0.2043 0.3174 0.4087
6 Pm 0.3317 0.0305 0.6634
7 Pm 0.5946 0.4555 0.1892
8 Pm 0.0323 0.7898 0.0646
9 Ni 0.5000 0.0000 0.0000
10 Ru 0.8129 0.2909 0.6258
11 Ru 0.1871 0.7091 0.3742

Results
As for the space group: C2/m, No. 12. As for the volume: 297 Å³ per cell.

Which structure is the least stable? The one labeled one.

one:
Pm2NiRu: relaxed, PBE.

Cell: 4.0777 5.7669 8.0939 Å, 110.48 90.00 90.00°
Element x y z (fractional)
1 Pm 0.7500 0.2134 0.4322
2 Pm 0.2500 0.7866 0.5678
3 Pm 0.2500 0.7864 0.0757
4 Pm 0.7500 0.2136 0.9243
5 Ni 0.2500 0.3588 0.2138
6 Ni 0.7500 0.6412 0.7862
7 Ru 0.7500 0.6321 0.2802
8 Ru 0.2500 0.3679 0.7198

Results
As for the space group: P2_1/m, No. 11. As for the volume: 178 Å³ per cell.

two:
Pm2NiRu: relaxed, PBE.

Cell: 3.4566 3.4566 7.0701 Å, 90.00 90.00 90.00°
Element x y z (fractional)
1 Ru 0.5000 0.5000 0.0000
2 Ni 0.5000 0.5000 0.5000
3 Pm 0.0000 0.0000 0.7513
4 Pm 0.0000 0.0000 0.2487

Results
As for the space group: P4/mmm, No. 123. As for the volume: 84 Å³ per cell.

Which structure is the least stable? The one labeled two.

one:
PmNiRu: relaxed, PBE.

Cell: 4.0852 6.8013 6.8013 Å, 120.00 90.00 90.00°
Element x y z (fractional)
1 Ni 0.5000 0.6667 0.3333
2 Ni 0.5000 0.3333 0.6667
3 Ni 0.0000 0.0000 0.0000
4 Pm 0.0000 0.6007 0.6007
5 Pm 0.0000 0.0000 0.3993
6 Pm 0.0000 0.3993 0.0000
7 Ru 0.5000 0.0000 0.7635
8 Ru 0.5000 0.7635 0.0000
9 Ru 0.5000 0.2365 0.2365

Results
As for the space group: P-62m, No. 189. As for the volume: 164 Å³ per cell.

two:
PmNiRu: relaxed, PBE.

Cell: 5.1425 5.3307 5.3307 Å, 59.28 61.16 61.16°
Element x y z (fractional)
1 Pm 0.8782 0.3718 0.3718
2 Pm 0.1218 0.6282 0.6282
3 Ni 0.5000 0.5000 0.0000
4 Ni 0.5000 0.0000 0.5000
5 Ru 0.0000 0.0000 0.0000
6 Ru 0.5000 0.0000 0.0000

Results
As for the space group: Imma, No. 74. As for the volume: 105 Å³ per cell.

Which structure is the least stable? The one labeled one.

one:
PmSmNiRu: relaxed, PBE.

Cell: 4.0455 4.0821 5.7389 Å, 90.00 110.64 90.00°
Element x y z (fractional)
1 Pm 0.1434 0.0000 0.2868
2 Sm 0.8577 0.5000 0.7155
3 Ni 0.5675 0.5000 0.1350
4 Ru 0.4314 0.0000 0.8627

Results
As for the space group: Amm2, No. 38. As for the volume: 89 Å³ per cell.

two:
PmSmNiRu: relaxed, PBE.

Cell: 4.9147 4.9147 4.9147 Å, 60.00 60.00 60.00°
Element x y z (fractional)
1 Ru 0.7500 0.7500 0.7500
2 Ni 0.2500 0.2500 0.2500
3 Sm 0.0000 0.0000 0.0000
4 Pm 0.5000 0.5000 0.5000

Results
As for the space group: F-43m, No. 216. As for the volume: 84 Å³ per cell.

Which structure is the least stable? The one labeled two.

one:
PmThNiRu: relaxed, PBE.

Cell: 3.8882 4.0429 5.9507 Å, 90.00 109.07 90.00°
Element x y z (fractional)
1 Pm 0.1406 0.0000 0.2811
2 Th 0.8670 0.5000 0.7340
3 Ni 0.5797 0.5000 0.1594
4 Ru 0.4128 0.0000 0.8255

Results
As for the space group: Amm2, No. 38. As for the volume: 88 Å³ per cell.

two:
PmThNiRu: relaxed, PBE.

Cell: 4.9585 4.9585 4.9585 Å, 60.00 60.00 60.00°
Element x y z (fractional)
1 Ru 0.7500 0.7500 0.7500
2 Ni 0.2500 0.2500 0.2500
3 Th 0.5000 0.5000 0.5000
4 Pm 0.0000 0.0000 0.0000

Results
As for the space group: F-43m, No. 216. As for the volume: 86 Å³ per cell.

Which structure is the least stable? The one labeled two.